(1)
Material: K4Tm
Method: DFT, PBE
State: relaxed

Output
Crystal system: cubic

Lattice parameters (Å, degrees): 7.4785 7.4785 7.4785 90.00 90.00 90.00
Last column: nearest neighbours and their distance in Å.
Sites, in units of the cell vectors:
K1 0.0000 0.0000 0.0000  12 K 5.29
K2 0.5000 0.0000 0.5000  2 Tm 3.74
K3 0.0000 0.5000 0.5000  2 Tm 3.74
K4 0.5000 0.5000 0.0000  2 Tm 3.74
Tm1 0.5000 0.5000 0.5000  6 K 3.74

(2)
Material: K4U
Method: DFT, PBE
State: relaxed

Output
Crystal system: cubic

Lattice parameters (Å, degrees): 7.3546 7.3546 7.3546 90.00 90.00 90.00
Last column: nearest neighbours and their distance in Å.
Sites, in units of the cell vectors:
K1 0.0000 0.0000 0.0000  12 K 5.20
K2 0.5000 0.0000 0.5000  2 U 3.68
K3 0.0000 0.5000 0.5000  2 U 3.68
K4 0.5000 0.5000 0.0000  2 U 3.68
U1 0.5000 0.5000 0.5000  6 K 3.68

(3)
Material: KU4
Method: DFT, PBE
State: relaxed

Output
Crystal system: cubic

Lattice parameters (Å, degrees): 5.1027 5.1027 5.1027 90.00 90.00 90.00
Last column: nearest neighbours and their distance in Å.
Sites, in units of the cell vectors:
K1 0.5000 0.5000 0.5000  6 U 2.55
U1 0.0000 0.0000 0.0000  12 U 3.61
U2 0.5000 0.0000 0.5000  2 K 2.55
U3 0.0000 0.5000 0.5000  2 K 2.55
U4 0.5000 0.5000 0.0000  2 K 2.55

(4)
Material: KU3
Method: DFT, PBE
State: relaxed

Output
Crystal system: monoclinic

Lattice parameters (Å, degrees): 14.0114 4.7718 9.6289 60.29 90.00 90.00
Last column: nearest neighbours and their distance in Å.
Sites, in units of the cell vectors:
K1 0.4999 0.7472 0.2517  6 U 3.80-4.12, 2 K 4.15-4.21
K2 0.9999 0.2528 0.2483  6 U 3.80-4.12, 2 K 4.15-4.21
K3 0.5001 0.2528 0.7483  6 U 3.80-4.12, 2 K 4.15-4.21
K4 0.0001 0.7472 0.7517  6 U 3.80-4.12, 2 K 4.15-4.21
U1 0.7328 0.1579 0.3428  6 U 2.76-2.82
U2 0.2670 0.1720 0.3272  6 U 2.76-2.82
U3 0.7670 0.8280 0.1728  6 U 2.76-2.82
U4 0.2328 0.8421 0.1572  6 U 2.76-2.82
U5 0.2672 0.8421 0.6572  6 U 2.76-2.82
U6 0.7330 0.8280 0.6728  6 U 2.76-2.82
U7 0.2330 0.1720 0.8272  6 U 2.76-2.82
U8 0.7672 0.1579 0.8428  6 U 2.76-2.82
U9 0.7727 0.4933 0.5076  6 U 2.80-2.81
U10 0.2273 0.5067 0.4924  6 U 2.80-2.81
U11 0.7273 0.4933 0.0076  6 U 2.80-2.81
U12 0.2727 0.5067 0.9924  6 U 2.80-2.81

| no. | VASP energy (eV per formula unit) |
| --- | --- |
| 1 | -5.275 |
| 2 | -9.496 |
| 3 | -34.685 |
| 4 | -31.593 |